This record from the Alexandria database describes crystalline CrIrRhO6 at its relaxed geometry. The functional is PBE with a Hubbard U.

Results
VASP energy ... -0.2549 Ha/atom

Cell: 5.048 5.048 8.610 Å, 90.00 90.00 120.00°
Atoms (fractional coordinates):
Cr: 0.333 0.667 0.250
Cr: 0.667 0.333 0.750
Ir: 0.667 0.333 0.250
Ir: 0.333 0.667 0.750
Rh: 0.000 0.000 0.000
Rh: 0.000 0.000 0.500
O: 0.658 0.658 0.126
O: 0.000 0.342 0.126
O: 0.342 0.000 0.626
O: 0.000 0.658 0.874
O: 0.342 0.342 0.374
O: 0.000 0.658 0.374
O: 0.658 0.000 0.874
O: 0.658 0.000 0.374
O: 0.000 0.342 0.626
O: 0.342 0.000 0.126
O: 0.658 0.658 0.626
O: 0.342 0.342 0.874